The following is a PBE calculation of a relaxed structure of Ca6Al2N, from Alexandria.

Values from the calculation:
raw total energy	-3.46	eV per atom
magnetization	1.0	μB per formula unit
space group	C2/m, No. 12
formation energy without anion corrections	-0.37	eV per atom

abc: 7.0403 7.0403 7.0720
angles: 120.15 120.15 60.30
Last column: nearest neighbours and their distance in Å.
Element x y z (fractional)
Ca: 0.2372 0.7602 0.7603  1 N 2.39
Ca: 0.2399 0.2399 0.2374  1 N 2.38
Ca: 0.2398 0.7628 0.2397  1 N 2.39
Ca: 0.7602 0.2372 0.7603  1 N 2.39
Ca: 0.7601 0.7601 0.7626  1 N 2.38
Ca: 0.7628 0.2398 0.2397  1 N 2.39
Al: 0.2500 0.2500 0.7500  12 Ca 3.51-3.55
Al: 0.7500 0.7500 0.2500  12 Ca 3.51-3.55
N: 0.0000 0.0000 0.0000  6 Ca 2.38-2.39